Entry from the Alexandria database: a geometry-optimized Nd5Y3Th structure (GGA-PBE).

Calculated values
The value obtained for the calculated density is 6.5 g cm⁻³. The space group is I4/mcm, No. 140. The density of states at the Fermi level is 26.73 states/eV/cell. The calculation puts the total magnetization at 0.00 μB/f.u. For the formation enthalpy at 0 K, the calculation gives 0.317 eV per atom.

a b c (Å): 11.369 11.369 11.369
angles (deg): 138.94 138.94 59.47
Element x y z (fractional)
Nd1 0.000 0.000 0.000
Nd2 0.073 0.573 0.914
Nd3 0.160 0.073 0.500
Nd4 0.340 0.840 0.914
Nd5 0.427 0.340 0.500
Nd6 0.500 0.500 0.000
Nd7 0.573 0.660 0.500
Nd8 0.660 0.160 0.086
Nd9 0.840 0.927 0.500
Nd10 0.927 0.427 0.086
Y1 0.131 0.369 0.500
Y2 0.250 0.250 0.000
Y3 0.369 0.869 0.238
Y4 0.631 0.131 0.762
Y5 0.750 0.750 0.000
Y6 0.869 0.631 0.500
Th1 0.250 0.750 0.500
Th2 0.750 0.250 0.500